Below is a relaxed structure of ErTm2Hg, with properties calculated at the PBE-GGA level.

For the density, the calculation gives 10.93 g/cm3. The distance to the lowest polymorph of the same formula comes out at 74 meV per atom.

a = 4.7548 Å, b = 4.7548 Å, c = 4.7435 Å
α = 90.00°, β = 90.00°, γ = 90.00°
Last column: nearest neighbours and their distance in Å.
Sites, in units of the cell vectors:
Er: 0.0000 0.0000 0.0000  8 Tm 3.36, 4 Hg 3.36
Tm: 0.0000 0.5000 0.5000  4 Hg 3.36, 4 Er 3.36, 4 Tm 3.36
Tm: 0.5000 0.0000 0.5000  4 Hg 3.36, 4 Er 3.36, 4 Tm 3.36
Hg: 0.5000 0.5000 0.0000  8 Tm 3.36, 4 Er 3.36

Below is a relaxed structure of LiCaTc2, with properties calculated at the PBE-GGA level.

For the density, the calculation gives 5.89 g/cm3. The distance to the lowest polymorph of the same formula comes out at 140 meV per atom.

a = 4.2075 Å, b = 4.9119 Å, c = 6.6346 Å
α = 90.00°, β = 90.00°, γ = 90.00°
Last column: nearest neighbours and their distance in Å.
Sites, in units of the cell vectors:
Li: 0.0000 0.0000 0.0000  4 Tc 2.71-2.94, 4 Ca 2.73-2.92
Li: 0.5000 0.5000 0.5000  4 Tc 2.71-2.94, 4 Ca 2.73-2.92
Ca: 0.0000 0.5000 0.7631  4 Li 2.73-2.92, 4 Tc 2.80-2.86
Ca: 0.5000 0.0000 0.2631  4 Li 2.73-2.92, 4 Tc 2.80-2.86
Tc: 0.0000 0.0000 0.5423  2 Tc 2.49
Tc: 0.0000 0.5000 0.2437  2 Tc 2.49, 2 Li 2.71
Tc: 0.5000 0.0000 0.7437  2 Tc 2.49, 2 Li 2.71
Tc: 0.5000 0.5000 0.0423  2 Tc 2.49

Below is a relaxed structure of Tb2Ga3Pt4Rh, with properties calculated at the PBE-GGA level.

For the density, the calculation gives 12.60 g/cm3. For the total energy, the calculation gives -58.7 eV for the cell shown.

a = 4.0163 Å, b = 4.0163 Å, c = 11.5245 Å
α = 90.00°, β = 90.00°, γ = 90.00°
Last column: nearest neighbours and their distance in Å.
Sites, in units of the cell vectors:
Tb: 0.0000 0.5000 0.2423  4 Pt 3.01, 4 Ga 3.18
Tb: 0.5000 0.0000 0.7577  4 Pt 3.01, 4 Ga 3.18
Ga: 0.0000 0.0000 0.0000  4 Pt 2.69, 4 Rh 2.84
Ga: 0.0000 0.5000 0.6327  5 Pt 2.45-2.52
Ga: 0.5000 0.0000 0.3673  5 Pt 2.45-2.52
Pt: 0.0000 0.0000 0.5000  4 Ga 2.52
Pt: 0.0000 0.5000 0.8449  3 Ga 2.45-2.69, 2 Rh 2.69
Pt: 0.5000 0.0000 0.1551  3 Ga 2.45-2.69, 2 Rh 2.69
Pt: 0.5000 0.5000 0.5000  4 Ga 2.52
Rh: 0.5000 0.5000 0.0000  4 Pt 2.69, 4 Ga 2.84

Below is a relaxed structure of PrNd4Tm6, with properties calculated at the PBE-GGA level.

For the density, the calculation gives 7.63 g/cm3. The distance to the lowest polymorph of the same formula comes out at 159 meV per atom.

a = 9.6852 Å, b = 9.6852 Å, c = 9.6852 Å
α = 139.69°, β = 139.69°, γ = 58.33°
Last column: nearest neighbours and their distance in Å.
Sites, in units of the cell vectors:
Pr: 0.0000 0.0000 0.0000  8 Tm 3.34-3.70, 4 Nd 3.47
Nd: 0.0149 0.0149 0.3807  5 Tm 3.39-3.64, 1 Pr 3.47, 1 Nd 3.59
Nd: 0.3658 0.9851 0.0000  5 Tm 3.39-3.64, 1 Pr 3.47, 1 Nd 3.59
Nd: 0.6342 0.6342 0.6193  5 Tm 3.39-3.64, 1 Pr 3.47, 1 Nd 3.59
Nd: 0.9851 0.3658 0.0000  5 Tm 3.39-3.64, 1 Pr 3.47, 1 Nd 3.59
Tm: 0.0000 0.5000 0.5000  4 Tm 3.23, 2 Pr 3.34
Tm: 0.1983 0.5537 0.0000  3 Tm 3.23-3.36, 3 Nd 3.39-3.48
Tm: 0.4463 0.4463 0.6446  3 Tm 3.23-3.36, 3 Nd 3.39-3.48
Tm: 0.5000 0.0000 0.5000  4 Tm 3.23, 2 Pr 3.34
Tm: 0.5537 0.1983 0.0000  3 Tm 3.23-3.36, 3 Nd 3.39-3.48
Tm: 0.8017 0.8017 0.3554  3 Tm 3.23-3.36, 3 Nd 3.39-3.48

Below is a relaxed structure of YScZn2, with properties calculated at the PBE-GGA level.

For the density, the calculation gives 5.26 g/cm3. For the total energy, the calculation gives -67.0 eV for the cell shown.

a = 6.9400 Å, b = 6.9400 Å, c = 6.9400 Å
α = 90.00°, β = 90.00°, γ = 90.00°
Last column: nearest neighbours and their distance in Å.
Sites, in units of the cell vectors:
Y: 0.0000 0.0000 0.0000  8 Zn 3.01
Y: 0.0000 0.5000 0.5000  8 Zn 3.01
Y: 0.5000 0.0000 0.5000  8 Zn 3.01
Y: 0.5000 0.5000 0.0000  8 Zn 3.01
Sc: 0.0000 0.0000 0.5000  8 Zn 3.01
Sc: 0.0000 0.5000 0.0000  8 Zn 3.01
Sc: 0.5000 0.0000 0.0000  8 Zn 3.01
Sc: 0.5000 0.5000 0.5000  8 Zn 3.01
Zn: 0.2500 0.2500 0.2500  4 Sc 3.01, 4 Y 3.01
Zn: 0.2500 0.2500 0.7500  4 Y 3.01, 4 Sc 3.01
Zn: 0.2500 0.7500 0.2500  4 Y 3.01, 4 Sc 3.01
Zn: 0.2500 0.7500 0.7500  4 Sc 3.01, 4 Y 3.01
Zn: 0.7500 0.2500 0.2500  4 Y 3.01, 4 Sc 3.01
Zn: 0.7500 0.2500 0.7500  4 Sc 3.01, 4 Y 3.01
Zn: 0.7500 0.7500 0.2500  4 Sc 3.01, 4 Y 3.01
Zn: 0.7500 0.7500 0.7500  4 Y 3.01, 4 Sc 3.01

Below is a relaxed structure of Ac3Pr3ErS8, with properties calculated at the PBE-GGA level.

For the density, the calculation gives 6.15 g/cm3. For the formation energy (no corrections), the calculation gives -30.619 eV per formula unit.

a = 8.4220 Å, b = 8.4220 Å, c = 8.4220 Å
α = 58.95°, β = 58.95°, γ = 58.95°
Last column: nearest neighbours and their distance in Å.
Sites, in units of the cell vectors:
Ac: 0.0000 0.5000 0.5000  6 S 3.00
Ac: 0.5000 0.0000 0.5000  6 S 3.00
Ac: 0.5000 0.5000 0.0000  6 S 3.00
Pr: 0.0000 0.0000 0.5000  6 S 2.91
Pr: 0.0000 0.5000 0.0000  6 S 2.91
Pr: 0.5000 0.0000 0.0000  6 S 2.91
Er: 0.5000 0.5000 0.5000  6 S 2.77
S: 0.2462 0.2462 0.2462  3 Pr 2.91, 3 Ac 3.00
S: 0.2582 0.7348 0.7348  1 Er 2.77, 2 Pr 2.91, 2 Ac 3.00
S: 0.2652 0.2652 0.7418  1 Er 2.77, 2 Pr 2.91, 2 Ac 3.00
S: 0.2652 0.7418 0.2652  1 Er 2.77, 2 Pr 2.91, 2 Ac 3.00
S: 0.7348 0.2582 0.7348  1 Er 2.77, 2 Pr 2.91, 2 Ac 3.00
S: 0.7348 0.7348 0.2582  1 Er 2.77, 2 Pr 2.91, 2 Ac 3.00
S: 0.7418 0.2652 0.2652  1 Er 2.77, 2 Pr 2.91, 2 Ac 3.00
S: 0.7538 0.7538 0.7538  3 Pr 2.91, 3 Ac 3.00

Below is a relaxed structure of HoFe2GeN, with properties calculated at the PBE-GGA level.

For the density, the calculation gives 8.97 g/cm3. For the formation energy (no corrections), the calculation gives -3.397 eV per formula unit.

a = 5.6250 Å, b = 5.6250 Å, c = 6.8617 Å
α = 90.00°, β = 90.00°, γ = 141.74°
Last column: nearest neighbours and their distance in Å.
Sites, in units of the cell vectors:
Ho: 0.0474 0.9526 0.7500  4 N 2.57
Ho: 0.9526 0.0474 0.2500  4 N 2.57
Fe: 0.3401 0.6599 0.5562  1 N 1.74
Fe: 0.3401 0.6599 0.9438  1 N 1.74
Fe: 0.6599 0.3401 0.0562  1 N 1.74
Fe: 0.6599 0.3401 0.4438  1 N 1.74
Ge: 0.2309 0.7691 0.2500  6 Fe 2.39-2.40
Ge: 0.7691 0.2309 0.7500  6 Fe 2.39-2.40
N: 0.5000 0.5000 0.0000  2 Fe 1.74
N: 0.5000 0.5000 0.5000  2 Fe 1.74

Below is a relaxed structure of Pa2AlTc3, with properties calculated at the PBE-GGA level.

For the density, the calculation gives 11.84 g/cm3. The distance to the lowest polymorph of the same formula comes out at 0 meV per atom.

a = 5.4665 Å, b = 5.4665 Å, c = 8.4868 Å
α = 90.00°, β = 90.00°, γ = 120.00°
Last column: nearest neighbours and their distance in Å.
Sites, in units of the cell vectors:
Pa: 0.3333 0.6667 0.0800  1 Pa 2.89, 9 Tc 3.09-3.19, 3 Al 3.23
Pa: 0.3333 0.6667 0.4200  1 Pa 2.89, 9 Tc 3.09-3.19, 3 Al 3.23
Pa: 0.6667 0.3333 0.5800  1 Pa 2.89, 9 Tc 3.09-3.19, 3 Al 3.23
Pa: 0.6667 0.3333 0.9200  1 Pa 2.89, 9 Tc 3.09-3.19, 3 Al 3.23
Al: 0.0000 0.0000 0.0000  6 Tc 2.67
Al: 0.0000 0.0000 0.5000  6 Tc 2.67
Tc: 0.1719 0.3439 0.7500  4 Tc 2.65-2.82, 2 Al 2.67
Tc: 0.1719 0.8281 0.7500  4 Tc 2.65-2.82, 2 Al 2.67
Tc: 0.3439 0.1719 0.2500  4 Tc 2.65-2.82, 2 Al 2.67
Tc: 0.6561 0.8281 0.7500  4 Tc 2.65-2.82, 2 Al 2.67
Tc: 0.8281 0.1719 0.2500  4 Tc 2.65-2.82, 2 Al 2.67
Tc: 0.8281 0.6561 0.2500  4 Tc 2.65-2.82, 2 Al 2.67

Below is a relaxed structure of InSn2Br2, with properties calculated at the PBE-GGA level.

For the density, the calculation gives 5.24 g/cm3. The distance to the lowest polymorph of the same formula comes out at 247 meV per atom. For the formation energy (no corrections), the calculation gives -0.178 eV per formula unit.

a = 4.9672 Å, b = 4.9672 Å, c = 13.1520 Å
α = 90.00°, β = 90.00°, γ = 90.00°
Last column: nearest neighbours and their distance in Å.
Sites, in units of the cell vectors:
In: 0.0000 0.0000 0.0000  8 Sn 3.80, 8 Br 4.12
In: 0.5000 0.5000 0.5000  8 Sn 3.80, 8 Br 4.12
Sn: 0.0000 0.0000 0.3896  1 Sn 2.90, 4 Br 3.09
Sn: 0.0000 0.0000 0.6104  1 Sn 2.90, 4 Br 3.09
Sn: 0.5000 0.5000 0.1104  1 Sn 2.90, 4 Br 3.09
Sn: 0.5000 0.5000 0.8896  1 Sn 2.90, 4 Br 3.09
Br: 0.0000 0.5000 0.2500  4 Sn 3.09
Br: 0.0000 0.5000 0.7500  4 Sn 3.09
Br: 0.5000 0.0000 0.2500  4 Sn 3.09
Br: 0.5000 0.0000 0.7500  4 Sn 3.09

Below is a relaxed structure of ErTm2ScAs4, with properties calculated at the PBE-GGA level.

For the density, the calculation gives 7.65 g/cm3. For the total energy, the calculation gives -50.2 eV for the cell shown.

a = 6.9692 Å, b = 4.0278 Å, c = 6.9704 Å
α = 90.00°, β = 109.47°, γ = 90.00°
Last column: nearest neighbours and their distance in Å.
Sites, in units of the cell vectors:
Er: 0.0000 0.0000 0.0000  6 As 2.85
Tm: 0.0000 0.5000 0.5000  6 As 2.89
Tm: 0.5000 0.0000 0.5000  6 As 2.84
Sc: 0.5000 0.5000 0.0000  6 As 2.80-2.81
As: 0.2545 0.5000 0.2471  1 Sc 2.80, 3 Tm 2.84-2.89, 2 Er 2.85
As: 0.2577 0.0000 0.7569  2 Sc 2.81, 3 Tm 2.84-2.89, 1 Er 2.85
As: 0.7423 0.0000 0.2431  2 Sc 2.81, 3 Tm 2.84-2.89, 1 Er 2.85
As: 0.7455 0.5000 0.7529  1 Sc 2.80, 3 Tm 2.84-2.89, 2 Er 2.85

Copy entry 6 word for word.
Below is a relaxed structure of Ac3Pr3ErS8, with properties calculated at the PBE-GGA level.

For the density, the calculation gives 6.15 g/cm3. For the formation energy (no corrections), the calculation gives -30.619 eV per formula unit.

a = 8.4220 Å, b = 8.4220 Å, c = 8.4220 Å
α = 58.95°, β = 58.95°, γ = 58.95°
Last column: nearest neighbours and their distance in Å.
Sites, in units of the cell vectors:
Ac: 0.0000 0.5000 0.5000  6 S 3.00
Ac: 0.5000 0.0000 0.5000  6 S 3.00
Ac: 0.5000 0.5000 0.0000  6 S 3.00
Pr: 0.0000 0.0000 0.5000  6 S 2.91
Pr: 0.0000 0.5000 0.0000  6 S 2.91
Pr: 0.5000 0.0000 0.0000  6 S 2.91
Er: 0.5000 0.5000 0.5000  6 S 2.77
S: 0.2462 0.2462 0.2462  3 Pr 2.91, 3 Ac 3.00
S: 0.2582 0.7348 0.7348  1 Er 2.77, 2 Pr 2.91, 2 Ac 3.00
S: 0.2652 0.2652 0.7418  1 Er 2.77, 2 Pr 2.91, 2 Ac 3.00
S: 0.2652 0.7418 0.2652  1 Er 2.77, 2 Pr 2.91, 2 Ac 3.00
S: 0.7348 0.2582 0.7348  1 Er 2.77, 2 Pr 2.91, 2 Ac 3.00
S: 0.7348 0.7348 0.2582  1 Er 2.77, 2 Pr 2.91, 2 Ac 3.00
S: 0.7418 0.2652 0.2652  1 Er 2.77, 2 Pr 2.91, 2 Ac 3.00
S: 0.7538 0.7538 0.7538  3 Pr 2.91, 3 Ac 3.00

- The lowest density belongs to which entry?
  InSn2Br2

- Number 2 is which compound?
  LiCaTc2

- The lowest density belongs to which entry?
  InSn2Br2